Record 1
## La3Pm5Bi8 (GGA-PBE)

Data for a relaxed La3Pm5Bi8 crystal.

Magnetic moment = 0.00 μB/f.u.
Formation energy from the elements = -0.98 eV/atom

a b c (Å): 9.255 9.255 9.255
angles (deg): 60.02 60.02 60.02
Sites, in units of the cell vectors:
1 La 0.000 0.500 0.500
2 La 0.500 0.000 0.500
3 La 0.500 0.500 0.000
4 Pm 0.000 0.000 0.000
5 Pm 0.000 0.000 0.500
6 Pm 0.000 0.500 0.000
7 Pm 0.500 0.000 0.000
8 Pm 0.500 0.500 0.500
9 Bi 0.246 0.750 0.750
10 Bi 0.248 0.248 0.248
11 Bi 0.250 0.250 0.754
12 Bi 0.250 0.754 0.250
13 Bi 0.750 0.246 0.750
14 Bi 0.750 0.750 0.246
15 Bi 0.752 0.752 0.752
16 Bi 0.754 0.250 0.250

=====

Record 2
## CsSn4O8 (GGA-PBE)

Data for a relaxed CsSn4O8 crystal.

E_form (uncorrected) = -155 kJ/mol of atoms
Magnetic moment = 0.00 μB/f.u.

a b c (Å): 7.917 7.917 10.944
angles (deg): 133.67 133.67 24.26
Sites, in units of the cell vectors:
1 Cs 0.000 0.000 0.000
2 Sn 0.151 0.151 0.488
3 Sn 0.337 0.337 0.186
4 Sn 0.663 0.663 0.814
5 Sn 0.849 0.849 0.512
6 O 0.041 0.041 0.708
7 O 0.291 0.291 0.947
8 O 0.334 0.334 0.375
9 O 0.344 0.344 0.635
10 O 0.656 0.656 0.365
11 O 0.666 0.666 0.625
12 O 0.709 0.709 0.053
13 O 0.959 0.959 0.292

=====

Record 3
## CsIn4Au5 (GGA-PBE)

Data for a relaxed CsIn4Au5 crystal.

Magnetic moment = 0.00 μB/f.u.
Formation energy from the elements = -0.17 eV/atom

a b c (Å): 7.184 10.375 6.834
angles (deg): 90.00 90.00 90.00
Sites, in units of the cell vectors:
1 Cs 0.250 0.250 0.051
2 Cs 0.750 0.750 0.949
3 In 0.020 0.250 0.557
4 In 0.250 0.599 0.092
5 In 0.250 0.901 0.092
6 In 0.480 0.250 0.557
7 In 0.520 0.750 0.443
8 In 0.750 0.099 0.908
9 In 0.750 0.401 0.908
10 In 0.980 0.750 0.443
11 Au 0.051 0.506 0.709
12 Au 0.051 0.994 0.709
13 Au 0.250 0.750 0.741
14 Au 0.449 0.506 0.709
15 Au 0.449 0.994 0.709
16 Au 0.551 0.006 0.291
17 Au 0.551 0.494 0.291
18 Au 0.750 0.250 0.259
19 Au 0.949 0.006 0.291
20 Au 0.949 0.494 0.291

=====

Record 4
## K7Rb2Cd (GGA-PBE)

Data for a relaxed K7Rb2Cd crystal.

Magnetic moment = 0.00 μB/f.u.
Formation energy from the elements = 0.01 eV/atom

a b c (Å): 11.872 11.872 13.944
angles (deg): 120.73 120.73 61.01
Sites, in units of the cell vectors:
1 K 0.139 0.603 0.195
2 K 0.150 0.850 0.750
3 K 0.194 0.422 0.482
4 K 0.284 0.556 0.912
5 K 0.397 0.861 0.305
6 K 0.422 0.194 0.982
7 K 0.444 0.716 0.588
8 K 0.556 0.284 0.412
9 K 0.578 0.806 0.018
10 K 0.603 0.139 0.695
11 K 0.716 0.444 0.088
12 K 0.806 0.578 0.518
13 K 0.850 0.150 0.250
14 K 0.861 0.397 0.805
15 Rb 0.145 0.153 0.100
16 Rb 0.153 0.145 0.600
17 Rb 0.847 0.855 0.400
18 Rb 0.855 0.847 0.900
19 Cd 0.486 0.514 0.750
20 Cd 0.514 0.486 0.250